[1]
La8SmSc2 | PBE | optimized geometry

The energy comes out at -5.051 eV/atom.

It has space group Immm (No. 71), with a = 5.574 Å, b = 8.595 Å, c = 15.900 Å, α = 90.00°, β = 90.00° and γ = 90.00°. Symmetry generates all atoms from La at (0.000, 0.000, 0.159), La at (0.000, 0.199, 0.355), La at (0.000, 0.304, 0.000), Sm at (0.000, 0.500, 0.500) and Sc at (0.000, 0.500, 0.202).

---

[2]
ThNi2B | PBE | optimized geometry

The energy comes out at -6.732 eV/atom.

It has space group Pm (No. 6), with a = 3.552 Å, b = 3.553 Å, c = 4.823 Å, α = 90.00°, β = 91.53° and γ = 90.00°. Symmetry generates all atoms from Th at (0.000, 0.000, 0.000), Ni at (0.020, 0.500, 0.509), Ni at (0.515, 0.000, 0.508) and B at (0.513, 0.500, 0.304).

---

[3]
NbNiBr3 | PBE | optimized geometry

The formation energy without anion corrections is 2.20 eV per formula unit. The energy above the most stable polymorph in this dataset is 0 kJ/mol of formula units.

It has space group Pm-3m (No. 221), with a = 5.182 Å, b = 5.182 Å, c = 5.182 Å, α = 90.00°, β = 90.00° and γ = 90.00°. Symmetry generates all atoms from Nb at (0.000, 0.000, 0.000), Ni at (0.500, 0.500, 0.500) and Br at (0.000, 0.000, 0.500).

---

Number 1: D(E_F) 37.9 states/eV/cell. Number 2: D(E_F) 2.7 states/eV/cell. Number 3: D(E_F) 28.1 states/eV/cell.